# 1
VASP calculation (PBE-GGA) on an optimized crystal structure of RuRhCl3.

## Properties
- Energy: -3.818 eV per atom
- ρ: 4.73 g/cm3
- Magnetization: 3.40 μB/f.u.
- Uncorrected formation energy: 297 kJ/mol of formula units

Lattice parameters (Å, degrees): 4.777 4.777 4.777 90.00 90.00 90.00
Fractional coordinates of all 5 atoms:
Ru1 0.000 0.000 0.000
Rh1 0.500 0.500 0.500
Cl1 0.000 0.500 0.500
Cl2 0.500 0.000 0.500
Cl3 0.500 0.500 0.000

***

# 2
VASP calculation (PBE-GGA) on an optimized crystal structure of Ca12TlCu6.

## Properties
- Energy: -2.807 eV per atom
- ΔH_f (0 K): -125.1 meV/atom
- ρ: 3.23 g/cm3
- Magnetization: 0.00 μB/f.u.

Lattice parameters (Å, degrees): 8.931 8.931 8.931 109.47 109.47 109.47
Fractional coordinates of all 19 atoms:
Ca1 0.115 0.298 0.817
Ca2 0.183 0.482 0.298
Ca3 0.183 0.885 0.702
Ca4 0.298 0.183 0.482
Ca5 0.298 0.817 0.115
Ca6 0.482 0.298 0.183
Ca7 0.518 0.702 0.817
Ca8 0.702 0.183 0.885
Ca9 0.702 0.817 0.518
Ca10 0.817 0.115 0.298
Ca11 0.817 0.518 0.702
Ca12 0.885 0.702 0.183
Tl1 0.000 0.000 0.000
Cu1 0.118 0.500 0.618
Cu2 0.382 0.882 0.500
Cu3 0.500 0.382 0.882
Cu4 0.500 0.618 0.118
Cu5 0.618 0.118 0.500
Cu6 0.882 0.500 0.382

***

# 3
VASP calculation (PBE-GGA) on an optimized crystal structure of Tl2Cd.

## Properties
- Relative energy among the computed polymorphs: 0.32 eV/f.u.
- Energy: -1.745 eV per atom
- ΔH_f (0 K): 137.1 meV/atom
- ρ: 8.91 g/cm3
- Magnetization: 0.00 μB/f.u.

Lattice parameters (Å, degrees): 5.009 5.009 3.870 90.00 90.00 90.00
Fractional coordinates of all 3 atoms:
Tl1 0.000 0.500 0.000
Tl2 0.500 0.000 0.000
Cd1 0.000 0.000 0.500

***

# 4
VASP calculation (PBE-GGA) on an optimized crystal structure of NaLiTl2.

## Properties
- Relative energy among the computed polymorphs: 0.00 eV/f.u.
- Energy: -2.154 eV per atom
- ΔH_f (0 K): -163.0 meV/atom
- ρ: 7.40 g/cm3
- Magnetization: 0.00 μB/f.u.

Lattice parameters (Å, degrees): 3.504 3.504 8.020 90.00 90.00 90.00
Fractional coordinates of all 4 atoms:
Na1 0.000 0.000 0.000
Li1 0.000 0.000 0.500
Tl1 0.500 0.500 0.283
Tl2 0.500 0.500 0.717

***

# 5
VASP calculation (PBE-GGA) on an optimized crystal structure of MnAgRh.

## Properties
- Relative energy among the computed polymorphs: 0.54 eV/f.u.
- Energy: -6.230 eV per atom
- ΔH_f (0 K): 227.0 meV/atom
- ρ: 10.09 g/cm3
- Magnetization: 0.04 μB/f.u.

Lattice parameters (Å, degrees): 7.324 7.324 2.697 90.00 90.00 142.80
Fractional coordinates of all 6 atoms:
Mn1 0.215 0.215 0.000
Mn2 0.785 0.785 0.000
Ag1 0.191 0.809 0.000
Ag2 0.809 0.191 0.000
Rh1 0.379 0.621 0.500
Rh2 0.621 0.379 0.500

***

# 6
VASP calculation (PBE-GGA) on an optimized crystal structure of SrCdSbI2.

## Properties
- Relative energy among the computed polymorphs: 0.57 eV/f.u.
- Energy: -2.212 eV per atom
- ρ: 3.53 g/cm3
- Magnetization: 2.03 μB/f.u.
- Uncorrected formation energy: -120 kJ/mol of formula units

Lattice parameters (Å, degrees): 6.307 6.307 6.817 90.00 90.00 90.00
Fractional coordinates of all 5 atoms:
Sr1 0.000 0.000 0.000
Cd1 0.500 0.500 0.500
Sb1 0.000 0.000 0.500
I1 0.000 0.500 0.000
I2 0.500 0.000 0.000

***

# 7
VASP calculation (PBE-GGA) on an optimized crystal structure of MnZnCl4.

## Properties
- Relative energy among the computed polymorphs: 9.98 eV/f.u.
- Energy: -2.386 eV per atom
- ρ: 3.00 g/cm3
- Magnetization: 6.90 μB/f.u.
- Uncorrected formation energy: 339 kJ/mol of formula units

Lattice parameters (Å, degrees): 5.898 5.898 5.898 60.00 60.00 60.00
Fractional coordinates of all 6 atoms:
Mn1 0.000 0.000 0.000
Zn1 0.750 0.750 0.750
Cl1 0.375 0.375 0.375
Cl2 0.375 0.375 0.876
Cl3 0.375 0.876 0.375
Cl4 0.876 0.375 0.375

***

# 8
VASP calculation (PBE-GGA) on an optimized crystal structure of IrF4.

## Properties
- Relative energy among the computed polymorphs: 0.00 eV/f.u.
- Energy: -4.630 eV per atom
- ρ: 6.51 g/cm3
- Magnetization: 1.02 μB/f.u.
- Uncorrected formation energy: -657 kJ/mol of formula units

Lattice parameters (Å, degrees): 5.696 5.589 6.779 53.81 52.36 73.83
Fractional coordinates of all 10 atoms:
Ir1 0.000 0.000 0.000
Ir2 0.250 0.250 0.250
F1 0.226 0.277 0.954
F2 0.242 0.831 0.437
F3 0.277 0.226 0.542
F4 0.296 0.708 0.024
F5 0.708 0.296 0.973
F6 0.760 0.813 0.419
F7 0.813 0.760 0.008
F8 0.831 0.242 0.490

***

# 9
VASP calculation (PBE-GGA) on an optimized crystal structure of BaSrLa2.

## Properties
- Relative energy among the computed polymorphs: 0.48 eV/f.u.
- Energy: -3.166 eV per atom
- ΔH_f (0 K): 198.8 meV/atom
- ρ: 4.60 g/cm3
- Magnetization: 0.00 μB/f.u.

Lattice parameters (Å, degrees): 7.644 7.644 7.644 147.29 130.62 60.49
Fractional coordinates of all 4 atoms:
Ba1 0.000 0.000 0.000
Sr1 0.500 0.500 0.000
La1 0.256 0.756 0.500
La2 0.744 0.244 0.500

***

# 10
VASP calculation (PBE-GGA) on an optimized crystal structure of Pm6TlSe4.

## Properties
- Energy: -5.490 eV per atom
- ρ: 7.39 g/cm3
- Magnetization: 0.01 μB/f.u.
- Uncorrected formation energy: -1503 kJ/mol of formula units

Lattice parameters (Å, degrees): 7.290 7.290 21.402 90.00 90.00 146.69
Fractional coordinates of all 22 atoms:
Pm1 0.000 0.000 0.000
Pm2 0.000 0.000 0.500
Pm3 0.162 0.838 0.750
Pm4 0.273 0.727 0.084
Pm5 0.273 0.727 0.416
Pm6 0.456 0.544 0.662
Pm7 0.456 0.544 0.838
Pm8 0.544 0.456 0.162
Pm9 0.544 0.456 0.338
Pm10 0.727 0.273 0.584
Pm11 0.727 0.273 0.916
Pm12 0.838 0.162 0.250
Tl1 0.166 0.834 0.250
Tl2 0.834 0.166 0.750
Se1 0.091 0.909 0.623
Se2 0.091 0.909 0.877
Se3 0.362 0.638 0.540
Se4 0.362 0.638 0.960
Se5 0.638 0.362 0.040
Se6 0.638 0.362 0.460
Se7 0.909 0.091 0.123
Se8 0.909 0.091 0.377

***

# 11
VASP calculation (PBE-GGA) on an optimized crystal structure of Er3TlRu.

## Properties
- Relative energy among the computed polymorphs: 0.00 eV/f.u.
- Energy: -5.441 eV per atom
- ΔH_f (0 K): -375.0 meV/atom
- ρ: 10.54 g/cm3
- Magnetization: 0.00 μB/f.u.

Lattice parameters (Å, degrees): 9.456 8.775 5.796 77.99 65.18 36.83
Fractional coordinates of all 10 atoms:
Er1 0.198 0.572 0.428
Er2 0.200 0.200 0.800
Er3 0.428 0.802 0.198
Er4 0.572 0.198 0.802
Er5 0.800 0.800 0.200
Er6 0.802 0.428 0.572
Tl1 0.218 0.782 0.782
Tl2 0.782 0.218 0.218
Ru1 0.250 0.250 0.250
Ru2 0.750 0.750 0.750

***

# 12
VASP calculation (PBE-GGA) on an optimized crystal structure of PmMgNiAu.

## Properties
- Energy: -4.281 eV per atom
- ΔH_f (0 K): -429.9 meV/atom
- ρ: 8.72 g/cm3
- Magnetization: 0.00 μB/f.u.

Lattice parameters (Å, degrees): 4.854 4.854 4.854 60.00 60.00 60.00
Fractional coordinates of all 4 atoms:
Pm1 0.000 0.000 0.000
Mg1 0.500 0.500 0.500
Ni1 0.250 0.250 0.250
Au1 0.750 0.750 0.750